(1)
# Ac3Cd2Si3 (GGA-PBE, relaxed)
# ΔE_f (raw)	-0.235	eV/atom
# raw total energy	-4.04	eV per atom
data_Ac3Cd2Si3
_symmetry_space_group_name_H-M 'I m m m'
_symmetry_Int_Tables_number 71
_symmetry_space_group_name_Hall '-I 2 2'
_cell_length_a 4.239
_cell_length_b 4.668
_cell_length_c 22.789
_cell_angle_alpha 90.00
_cell_angle_beta 90.00
_cell_angle_gamma 90.00
loop_
_atom_site_label
_atom_site_fract_x
_atom_site_fract_y
_atom_site_fract_z
Ac1 0.000 0.000 0.000
Ac2 0.000 0.500 0.128
Cd1 0.000 0.000 0.248
Si1 0.000 0.000 0.500
Si2 0.000 0.500 0.332


(2)
# ZrCdRh (GGA-PBE, relaxed)
# raw total energy	-5.82	eV per atom
data_ZrCdRh
_symmetry_space_group_name_H-M 'P 3 m 1'
_symmetry_Int_Tables_number 156
_cell_length_a 3.2831
_cell_length_b 3.2831
_cell_length_c 6.5439
_cell_angle_alpha 90.00
_cell_angle_beta 90.00
_cell_angle_gamma 120.00
loop_
_symmetry_equiv_pos_as_xyz
'x,y,z'
'-y,x-y,z'
'-x+y,-x,z'
'-y,-x,z'
'-x+y,y,z'
'x,x-y,z'
loop_
_atom_site_label
_atom_site_fract_x
_atom_site_fract_y
_atom_site_fract_z
Zr1 0.0000 0.0000 0.0000
Cd1 0.6667 0.3333 0.3873
Rh1 0.3333 0.6667 0.7258


(3)
# KBiAuO4 (GGA-PBE, relaxed)
# ΔE_f (raw)	-0.539	eV/atom
# raw total energy	-4.55	eV per atom
data_KBiAuO4
_symmetry_space_group_name_H-M 'C m c m'
_symmetry_Int_Tables_number 63
_symmetry_space_group_name_Hall '-C 2c 2'
_cell_length_a 7.160
_cell_length_b 10.594
_cell_length_c 7.218
_cell_angle_alpha 90.00
_cell_angle_beta 90.00
_cell_angle_gamma 90.00
loop_
_atom_site_label
_atom_site_fract_x
_atom_site_fract_y
_atom_site_fract_z
K1 0.000 0.000 0.000
Bi1 0.000 0.383 0.250
Au1 0.000 0.303 0.750
O1 0.000 0.261 0.022
O2 0.213 0.488 0.750


(4)
# InSiAg2 (GGA-PBE, relaxed)
# ΔE_f (raw)	0.218	eV/atom
# raw total energy	-3.25	eV per atom
data_InSiAg2
_symmetry_space_group_name_H-M 'R -3 m'
_symmetry_Int_Tables_number 166
_symmetry_space_group_name_Hall '-R 3 2"'
_cell_length_a 3.1570
_cell_length_b 3.1570
_cell_length_c 26.5574
_cell_angle_alpha 90.00
_cell_angle_beta 90.00
_cell_angle_gamma 120.00
loop_
_atom_site_label
_atom_site_fract_x
_atom_site_fract_y
_atom_site_fract_z
In1 0.0000 0.0000 0.0000
Si1 0.0000 0.0000 0.5000
Ag1 0.0000 0.0000 0.2422


(5)
# Be2Ag2H (GGA-PBE, relaxed)
# raw total energy	-2.82	eV per atom
data_Be2Ag2H
_symmetry_space_group_name_H-M 'P 4/m b m'
_symmetry_Int_Tables_number 127
_symmetry_space_group_name_Hall '-P 4 2ab'
_cell_length_a 5.387
_cell_length_b 5.387
_cell_length_c 4.086
_cell_angle_alpha 90.00
_cell_angle_beta 90.00
_cell_angle_gamma 90.00
loop_
_atom_site_label
_atom_site_fract_x
_atom_site_fract_y
_atom_site_fract_z
Be1 0.154 0.346 0.000
Ag1 0.172 0.672 0.500
H1 0.000 0.000 0.000


(6)
# TcHg (GGA-PBE, relaxed)
# raw total energy	-4.73	eV per atom
data_TcHg
_symmetry_space_group_name_H-M 'C 1 2/m 1'
_symmetry_Int_Tables_number 12
_cell_length_a 9.371
_cell_length_b 3.105
_cell_length_c 5.135
_cell_angle_alpha 90.00
_cell_angle_beta 103.61
_cell_angle_gamma 90.00
loop_
_symmetry_equiv_pos_as_xyz
'x,y,z'
'-x,-y,-z'
'-x,y,-z'
'x,-y,z'
'x+1/2,y+1/2,z'
'-x+1/2,-y+1/2,-z'
'-x+1/2,y+1/2,-z'
'x+1/2,-y+1/2,z'
loop_
_atom_site_label
_atom_site_fract_x
_atom_site_fract_y
_atom_site_fract_z
Tc1 0.146 0.000 0.423
Hg1 0.116 0.500 0.876


What is the raw total energy in the fifth record? -2.82 eV per atom


raw total energy of number 2 (ZrCdRh)? -5.82 eV per atom


Please write out number 4 again, unchanged.
# InSiAg2 (GGA-PBE, relaxed)
# ΔE_f (raw)	0.218	eV/atom
# raw total energy	-3.25	eV per atom
data_InSiAg2
_symmetry_space_group_name_H-M 'R -3 m'
_symmetry_Int_Tables_number 166
_symmetry_space_group_name_Hall '-R 3 2"'
_cell_length_a 3.1570
_cell_length_b 3.1570
_cell_length_c 26.5574
_cell_angle_alpha 90.00
_cell_angle_beta 90.00
_cell_angle_gamma 120.00
loop_
_atom_site_label
_atom_site_fract_x
_atom_site_fract_y
_atom_site_fract_z
In1 0.0000 0.0000 0.0000
Si1 0.0000 0.0000 0.5000
Ag1 0.0000 0.0000 0.2422


Number 2 is which compound? ZrCdRh